This record from the Alexandria database describes an optimized crystal structure of NiAgMo2. The functional is PBE-GGA.

Cell: 4.4150 4.4150 4.4150 Å, 60.00 60.00 60.00°
With the nearest neighbours (Å) after each atom.
Atoms (fractional coordinates):
Ni 0.0000 0.0000 0.0000  8 Mo 2.70
Ag 0.5000 0.5000 0.5000  8 Mo 2.70
Mo 0.7500 0.7500 0.7500  4 Ag 2.70, 4 Ni 2.70
Mo 0.2500 0.2500 0.2500  4 Ag 2.70, 4 Ni 2.70

Values from the calculation:
Calculated volume in Å³ per cell: 61
ρ in g/cm3: 9.781
Fermi-level density of states in states/eV per cell: 6.71
Energy of formation from the pure elements in meV per atom: 726
Space-group type: Fm-3m

---

This record from the Alexandria database describes an optimized crystal structure of MgBeCo2. The functional is PBE-GGA.

Cell: 7.7414 7.7414 7.7414 Å, 19.71 19.71 19.71°
With the nearest neighbours (Å) after each atom.
Atoms (fractional coordinates):
Mg 0.2500 0.2500 0.2500  6 Co 2.64, 6 Mg 2.65
Be 0.7500 0.7500 0.7500  6 Co 2.24
Co 0.4886 0.4886 0.4886  3 Be 2.24
Co 0.0114 0.0114 0.0114  3 Be 2.24

Values from the calculation:
Calculated volume in Å³ per cell: 46
ρ in g/cm3: 5.442
Fermi-level density of states in states/eV per cell: 3.22
Energy of formation from the pure elements in meV per atom: 174
Space-group type: R-3m

---

This record from the Alexandria database describes an optimized crystal structure of BeCrBr2. The functional is PBE-GGA.

Cell: 3.4214 3.5166 7.0075 Å, 82.92 90.00 90.00°
With the nearest neighbours (Å) after each atom.
Atoms (fractional coordinates):
Be 0.5000 0.7500 0.7500  4 Br 2.39
Cr 0.5000 0.2500 0.2500  4 Br 2.89
Br 0.0000 0.7270 0.9886  2 Be 2.39
Br 0.0000 0.7730 0.5114  2 Be 2.39

Values from the calculation:
Calculated volume in Å³ per cell: 84
ρ in g/cm3: 4.382
Fermi-level density of states in states/eV per cell: 1.60
Raw total energy in eV for the cell shown: -15.14
Space-group type: P2/m

---

This record from the Alexandria database describes an optimized crystal structure of Cr5Cu. The functional is PBE-GGA.

Cell: 4.6775 4.6775 4.6775 Å, 60.00 60.00 60.00°
With the nearest neighbours (Å) after each atom.
Atoms (fractional coordinates):
Cr 0.3743 0.3743 0.8771  6 Cr 2.33-2.35
Cr 0.3743 0.3743 0.3743  6 Cr 2.33-2.35
Cr 0.3743 0.8771 0.3743  6 Cr 2.33-2.35
Cr 0.8771 0.3743 0.3743  6 Cr 2.33-2.35
Cu 0.0000 0.0000 0.0000  16 Cr 2.74-2.86
Cr 0.7500 0.7500 0.7500  12 Cr 2.74, 4 Cu 2.86

Values from the calculation:
Calculated volume in Å³ per cell: 72
ρ in g/cm3: 7.424
Fermi-level density of states in states/eV per cell: 8.71
Energy of formation from the pure elements in meV per atom: 315
Space-group type: F-43m

---

This record from the Alexandria database describes an optimized crystal structure of NbRuPt2. The functional is PBE-GGA.

Cell: 5.4068 5.4068 7.3652 Å, 68.47 68.47 90.00°
With the nearest neighbours (Å) after each atom.
Atoms (fractional coordinates):
Nb 0.5000 0.5000 0.0000  4 Pt 2.53
Ru 0.0000 0.0000 0.0000  4 Pt 2.42
Nb 0.2500 0.7500 0.5000  4 Pt 2.53
Ru 0.7500 0.2500 0.5000  4 Pt 2.42
Pt 0.3750 0.3565 0.7500  2 Ru 2.42, 2 Nb 2.53
Pt 0.8750 0.8935 0.7500  2 Ru 2.42, 2 Nb 2.53
Pt 0.1065 0.6250 0.2500  2 Ru 2.42, 2 Nb 2.53
Pt 0.6435 0.1250 0.2500  2 Ru 2.42, 2 Nb 2.53

Values from the calculation:
Calculated volume in Å³ per cell: 184
ρ in g/cm3: 10.542
Fermi-level density of states in states/eV per cell: 6.77
Energy of formation from the pure elements in meV per atom: 658
Space-group type: I-42d

---

This record from the Alexandria database describes an optimized crystal structure of Pa2PdC. The functional is PBE-GGA.

Cell: 3.4467 3.4467 7.6444 Å, 76.97 76.97 60.00°
With the nearest neighbours (Å) after each atom.
Atoms (fractional coordinates):
Pd 0.0000 0.0000 0.0000  6 Pa 2.99
Pa 0.7676 0.7676 0.6971  3 C 2.47
Pa 0.2324 0.2324 0.3029  3 C 2.47
C 0.5000 0.5000 0.5000  6 Pa 2.47

Values from the calculation:
Calculated volume in Å³ per cell: 76
ρ in g/cm3: 12.695
Fermi-level density of states in states/eV per cell: 4.92
Energy of formation from the pure elements in meV per atom: -409
Space-group type: R-3m

---

This record from the Alexandria database describes an optimized crystal structure of CsYMo. The functional is PBE-GGA.

Cell: 3.8817 4.7306 14.2854 Å, 99.32 90.26 90.00°
With the nearest neighbours (Å) after each atom.
Atoms (fractional coordinates):
Cs 0.7445 0.3348 0.1621  2 Cs 3.88, 1 Mo 4.00
Y 0.7517 0.0481 0.6003  6 Mo 3.12-3.23, 2 Y 3.43
Mo 0.7491 0.4763 0.4458  2 Mo 2.47
Cs 0.2555 0.6652 0.8379  2 Cs 3.88, 1 Mo 4.00
Mo 0.2509 0.5237 0.5542  2 Mo 2.47
Y 0.2483 0.9519 0.3997  6 Mo 3.12-3.23, 2 Y 3.43

Values from the calculation:
Calculated volume in Å³ per cell: 259
ρ in g/cm3: 4.077
Fermi-level density of states in states/eV per cell: 8.80
Energy of formation from the pure elements in meV per atom: 415
Space-group type: P-1

---

This record from the Alexandria database describes an optimized crystal structure of LaNiBr2. The functional is PBE-GGA.

Cell: 6.0634 6.0634 7.5849 Å, 66.44 66.44 90.00°
With the nearest neighbours (Å) after each atom.
Atoms (fractional coordinates):
Br 0.5435 0.1250 0.2500  2 Ni 2.41
Br 0.8750 0.7935 0.7500  2 Ni 2.41
La 0.7500 0.2500 0.5000  4 Br 2.96
Ni 0.5000 0.5000 0.0000  4 Br 2.41
La 0.0000 0.0000 0.0000  4 Br 2.96
Br 0.3750 0.4565 0.7500  2 Ni 2.41
Br 0.2065 0.6250 0.2500  2 Ni 2.41
Ni 0.2500 0.7500 0.5000  4 Br 2.41

Values from the calculation:
Calculated volume in Å³ per cell: 230
ρ in g/cm3: 5.160
Fermi-level density of states in states/eV per cell: 4.36
Raw total energy in eV for the cell shown: -32.16
Space-group type: I-42d

---

Q: Look up the calculated volume of the fourth one.
A: 72 Å³ per cell

---

Please write out number 3 again, unchanged.
This record from the Alexandria database describes an optimized crystal structure of BeCrBr2. The functional is PBE-GGA.

Cell: 3.4214 3.5166 7.0075 Å, 82.92 90.00 90.00°
With the nearest neighbours (Å) after each atom.
Atoms (fractional coordinates):
Be 0.5000 0.7500 0.7500  4 Br 2.39
Cr 0.5000 0.2500 0.2500  4 Br 2.89
Br 0.0000 0.7270 0.9886  2 Be 2.39
Br 0.0000 0.7730 0.5114  2 Be 2.39

Values from the calculation:
Calculated volume in Å³ per cell: 84
ρ in g/cm3: 4.382
Fermi-level density of states in states/eV per cell: 1.60
Raw total energy in eV for the cell shown: -15.14
Space-group type: P2/m